[1]
Density functional theory data (PBE-GGA) for an optimized crystal structure of BeCu4Re.

DFT formation energy	0.4828	eV per atom

Lattice parameters (Å, degrees): 6.6686 6.6686 6.6686 90.00 90.00 90.00
Last column: nearest neighbours and their distance in Å.
Space group F-43m (No. 216)
Symmetry-distinct sites (fractional):
Be: 0.0000 0.0000 0.0000 (multiplicity 4)  12 Cu 2.76, 4 Re 2.89
Cu: 0.1251 0.1251 0.6251 (multiplicity 16)  6 Cu 2.36
Re: 0.2500 0.2500 0.2500 (multiplicity 4)  12 Cu 2.76, 4 Be 2.89


[2]
Density functional theory data (PBE-GGA) for an optimized crystal structure of Be2CuRe.

energy relative to the lowest polymorph listed for this composition	116.0	meV/atom
DFT formation energy	0.0606	eV per atom

Lattice parameters (Å, degrees): 2.5928 4.0291 8.3507 90.00 90.00 90.00
Last column: nearest neighbours and their distance in Å.
Space group Imm2 (No. 44)
Symmetry-distinct sites (fractional):
Be: 0.0000 0.0000 0.0000 (multiplicity 2)  2 Be 2.30, 4 Cu 2.42, 2 Re 2.56
Be: 0.0000 0.5000 0.2730 (multiplicity 2)  2 Be 2.30, 2 Cu 2.33, 4 Re 2.40
Cu: 0.0000 0.0000 0.5409 (multiplicity 2)  6 Be 2.33-2.42, 2 Cu 2.59
Re: 0.0000 0.5000 0.7645 (multiplicity 2)  6 Be 2.40-2.56, 2 Re 2.59, 2 Cu 2.65


[3]
Density functional theory data (PBE-GGA) for an optimized crystal structure of BeCuRe2.

DFT formation energy	0.1646	eV per atom

Lattice parameters (Å, degrees): 3.7988 3.7988 7.1708 90.00 90.00 90.00
Last column: nearest neighbours and their distance in Å.
Space group I-4m2 (No. 119)
Symmetry-distinct sites (fractional):
Be: 0.0000 0.0000 0.0000 (multiplicity 2)  8 Re 2.61-2.69, 4 Cu 2.61
Cu: 0.0000 0.5000 0.7500 (multiplicity 2)  8 Re 2.61-2.69, 4 Be 2.61
Re: 0.0000 0.0000 0.5000 (multiplicity 2)  4 Re 2.61, 4 Cu 2.61, 4 Be 2.69
Re: 0.0000 0.5000 0.2500 (multiplicity 2)  4 Re 2.61, 4 Be 2.61, 4 Cu 2.69


[4]
Density functional theory data (PBE-GGA) for an optimized crystal structure of BeCuRe2.

DFT formation energy	0.2447	eV per atom

Lattice parameters (Å, degrees): 3.1372 4.1084 8.0516 90.00 90.00 90.00
Last column: nearest neighbours and their distance in Å.
Space group Cmmm (No. 65)
Symmetry-distinct sites (fractional):
Be: 0.0000 0.0000 0.0000 (multiplicity 2)  4 Re 2.45, 4 Be 2.58
Cu: 0.0000 0.0000 0.5000 (multiplicity 2)  4 Cu 2.58, 4 Re 2.66
Re: 0.0000 0.5000 0.2336 (multiplicity 4)  2 Be 2.45, 4 Re 2.58, 2 Cu 2.66


[5]
Density functional theory data (PBE-GGA) for an optimized crystal structure of BeCu2Re.

DFT formation energy	0.1525	eV per atom

Lattice parameters (Å, degrees): 2.5985 4.1631 8.6319 90.00 90.00 90.00
Last column: nearest neighbours and their distance in Å.
Space group Immm (No. 71)
Symmetry-distinct sites (fractional):
Be: 0.0000 0.0000 0.0000 (multiplicity 2)  4 Cu 2.32, 4 Re 2.45
Cu: 0.0000 0.5000 0.2777 (multiplicity 4)  2 Be 2.32, 4 Cu 2.50
Re: 0.0000 0.0000 0.5000 (multiplicity 2)  4 Be 2.45, 2 Re 2.60, 4 Cu 2.73


[6]
Density functional theory data (PBE-GGA) for an optimized crystal structure of Be2CuRe.

energy relative to the lowest polymorph listed for this composition	108.8	meV/atom
DFT formation energy	0.0534	eV per atom

Lattice parameters (Å, degrees): 2.6762 2.6762 5.9493 90.00 90.00 90.00
Last column: nearest neighbours and their distance in Å.
Space group P4mm (No. 99)
Symmetry-distinct sites (fractional):
Be: 0.0000 0.0000 0.0000 (multiplicity 1)  4 Be 2.19, 1 Cu 2.41
Be: 0.5000 0.5000 0.1859 (multiplicity 1)  4 Be 2.19, 4 Cu 2.30
Cu: 0.0000 0.0000 0.4056 (multiplicity 1)  5 Be 2.30-2.41
Re: 0.5000 0.5000 0.7338 (multiplicity 1)  5 Be 2.47-2.69, 4 Re 2.68, 4 Cu 2.72


[7]
Density functional theory data (PBE-GGA) for an optimized crystal structure of BeCu2Re.

DFT formation energy	0.4005	eV per atom

Lattice parameters (Å, degrees): 3.7338 3.7338 6.8834 90.00 90.00 90.00
Last column: nearest neighbours and their distance in Å.
Space group I-4m2 (No. 119)
Symmetry-distinct sites (fractional):
Be: 0.0000 0.0000 0.0000 (multiplicity 2)  4 Re 2.54, 8 Cu 2.54-2.64
Cu: 0.0000 0.0000 0.5000 (multiplicity 2)  4 Re 2.54, 4 Cu 2.54, 4 Be 2.64
Cu: 0.0000 0.5000 0.7500 (multiplicity 2)  4 Be 2.54, 4 Cu 2.54, 4 Re 2.64
Re: 0.0000 0.5000 0.2500 (multiplicity 2)  4 Be 2.54, 8 Cu 2.54-2.64


[8]
Density functional theory data (PBE-GGA) for an optimized crystal structure of Be2CuRe.

energy relative to the lowest polymorph listed for this composition	177.1	meV/atom
DFT formation energy	0.1217	eV per atom

Lattice parameters (Å, degrees): 2.6385 2.6385 23.1390 90.00 90.00 120.00
Last column: nearest neighbours and their distance in Å.
Space group R-3m (No. 166, hexagonal axes)
Symmetry-distinct sites (fractional):
Be: 0.0000 0.0000 0.2471 (multiplicity 6)  3 Cu 2.40, 3 Re 2.51, 6 Be 2.64
Cu: 0.0000 0.0000 0.5000 (multiplicity 3)  6 Be 2.40, 6 Cu 2.64
Re: 0.0000 0.0000 0.0000 (multiplicity 3)  6 Be 2.51, 6 Re 2.64


[9]
Density functional theory data (PBE-GGA) for an optimized crystal structure of BeCu2Re.

DFT formation energy	0.2002	eV per atom

Lattice parameters (Å, degrees): 4.8904 8.6840 2.4850 90.00 112.27 90.00
Last column: nearest neighbours and their distance in Å.
Space group C2/m (No. 12)
Symmetry-distinct sites (fractional):
Be: 0.0000 0.0000 0.0000 (multiplicity 2)  2 Re 2.45, 2 Be 2.48, 4 Cu 2.57
Cu: 0.2500 0.2500 0.5000 (multiplicity 4)  4 Cu 2.45-2.48, 2 Re 2.57, 2 Be 2.57
Re: 0.0000 0.5000 0.0000 (multiplicity 2)  2 Be 2.45, 2 Re 2.48, 4 Cu 2.57


[10]
Density functional theory data (PBE-GGA) for an optimized crystal structure of Be2CuRe.

energy relative to the lowest polymorph listed for this composition	143.1	meV/atom
DFT formation energy	0.0877	eV per atom

Lattice parameters (Å, degrees): 2.5517 3.7492 4.8097 90.00 93.80 90.00
Last column: nearest neighbours and their distance in Å.
Space group P2/m (No. 10)
Symmetry-distinct sites (fractional):
Be: 0.0644 0.0000 0.2185 (multiplicity 2)  1 Be 2.11, 2 Cu 2.32
Cu: 0.0000 0.5000 0.5000 (multiplicity 1)  4 Be 2.32, 2 Cu 2.55
Re: 0.5000 0.5000 0.0000 (multiplicity 1)  8 Be 2.45-2.55, 2 Re 2.55, 2 Cu 2.65


[11]
Density functional theory data (PBE-GGA) for an optimized crystal structure of BeCu2Re.

DFT formation energy	0.2172	eV per atom

Lattice parameters (Å, degrees): 4.8891 8.0495 2.4922 90.00 90.00 90.00
Last column: nearest neighbours and their distance in Å.
Space group Cmmm (No. 65)
Symmetry-distinct sites (fractional):
Be: 0.0000 0.0000 0.0000 (multiplicity 2)  2 Re 2.44, 2 Be 2.49, 8 Cu 2.66
Cu: 0.2500 0.2500 0.5000 (multiplicity 4)  4 Cu 2.44-2.49, 4 Re 2.66, 4 Be 2.66
Re: 0.0000 0.5000 0.0000 (multiplicity 2)  2 Be 2.44, 2 Re 2.49, 8 Cu 2.66


[12]
Density functional theory data (PBE-GGA) for an optimized crystal structure of Be2CuRe.

energy relative to the lowest polymorph listed for this composition	0.0	meV/atom
DFT formation energy	-0.0554	eV per atom

Lattice parameters (Å, degrees): 3.6891 3.6891 3.1426 90.00 90.00 90.00
Last column: nearest neighbours and their distance in Å.
Space group P4/mmm (No. 123)
Symmetry-distinct sites (fractional):
Be: 0.0000 0.5000 0.0000 (multiplicity 2)  4 Re 2.42, 4 Cu 2.42, 4 Be 2.61
Cu: 0.0000 0.0000 0.5000 (multiplicity 1)  8 Be 2.42, 4 Re 2.61
Re: 0.5000 0.5000 0.5000 (multiplicity 1)  8 Be 2.42, 4 Cu 2.61


[13]
Density functional theory data (PBE-GGA) for an optimized crystal structure of BeCuRe2.

DFT formation energy	0.2807	eV per atom

Lattice parameters (Å, degrees): 5.1617 8.1804 2.5828 90.00 105.65 90.00
Last column: nearest neighbours and their distance in Å.
Space group C2/m (No. 12)
Symmetry-distinct sites (fractional):
Be: 0.0000 0.0000 0.0000 (multiplicity 2)  4 Re 2.57, 2 Cu 2.58, 2 Be 2.58
Cu: 0.0000 0.5000 0.0000 (multiplicity 2)  4 Re 2.57, 2 Be 2.58, 2 Cu 2.58
Re: 0.2500 0.2500 0.5000 (multiplicity 4)  2 Be 2.57, 2 Cu 2.57, 4 Re 2.58


[14]
Density functional theory data (PBE-GGA) for an optimized crystal structure of BeCuRe.

energy relative to the lowest polymorph listed for this composition	51.7	meV/atom
DFT formation energy	0.1743	eV per atom

Lattice parameters (Å, degrees): 2.6403 2.6403 6.1441 90.00 90.00 120.00
Last column: nearest neighbours and their distance in Å.
Space group P3m1 (No. 156)
Symmetry-distinct sites (fractional):
Be: 0.0000 0.0000 0.0000 (multiplicity 1)  3 Cu 2.41, 3 Re 2.52, 6 Be 2.64
Cu: 0.6667 0.3333 0.3031 (multiplicity 1)  3 Be 2.41, 6 Cu 2.64
Re: 0.3333 0.6667 0.6728 (multiplicity 1)  3 Be 2.52, 6 Re 2.64, 3 Cu 2.74


[15]
Density functional theory data (PBE-GGA) for an optimized crystal structure of BeCu2Re.

DFT formation energy	0.2129	eV per atom

Lattice parameters (Å, degrees): 2.5342 4.0440 4.7805 90.00 102.85 90.00
Last column: nearest neighbours and their distance in Å.
Space group P2/m (No. 10)
Symmetry-distinct sites (fractional):
Be: 0.0000 0.0000 0.0000 (multiplicity 1)  4 Cu 2.39, 2 Re 2.44, 2 Be 2.53
Cu: 0.1583 0.5000 0.7656 (multiplicity 2)  2 Be 2.39, 5 Cu 2.49-2.54, 2 Re 2.63
Re: 0.5000 0.0000 0.5000 (multiplicity 1)  2 Be 2.44, 2 Re 2.53, 4 Cu 2.63